No. 1
VASP calculation (GGA-PBE) on an optimized crystal structure of KGeAsBr2.

Results
E_tot, eV per atom: -3.158
M_tot, μB per formula unit: 1.66
Distance to the lowest polymorph of the same formula, meV/atom: 0
Energy relative to the elements, uncorrected, kJ per mole of atoms: -40.2

a = 5.6412 Å, b = 5.6412 Å, c = 5.1758 Å
α = 90.00°, β = 90.00°, γ = 90.00°
Last column: nearest neighbours and their distance in Å.
Space group P4/mmm (No. 123)
Asymmetric unit:
K: 0.0000 0.0000 0.0000  8 Br 3.83, 4 As 3.99
Ge: 0.5000 0.5000 0.5000  2 As 2.59, 4 Br 2.82
As: 0.5000 0.5000 0.0000  2 Ge 2.59
Br: 0.0000 0.5000 0.5000  2 Ge 2.82

=====

No. 2
VASP calculation (GGA-PBE) on an optimized crystal structure of LaGeAs2Br.

Results
E_tot, eV per atom: -3.838
M_tot, μB per formula unit: 0.01
Distance to the lowest polymorph of the same formula, meV/atom: 624
Energy relative to the elements, uncorrected, kJ per mole of atoms: 25.6

a = 5.7438 Å, b = 5.7438 Å, c = 5.6201 Å
α = 90.00°, β = 90.00°, γ = 90.00°
Last column: nearest neighbours and their distance in Å.
Space group P4/mmm (No. 123)
Asymmetric unit:
La: 0.0000 0.0000 0.0000  2 Br 2.81, 4 As 2.87
Ge: 0.5000 0.5000 0.5000  8 As 4.02, 4 Br 4.06
As: 0.0000 0.5000 0.0000  2 La 2.87
Br: 0.0000 0.0000 0.5000  2 La 2.81

=====

No. 3
VASP calculation (GGA-PBE) on an optimized crystal structure of La6GeAs2Br3.

Results
E_tot, eV per atom: -5.486
M_tot, μB per formula unit: 0.00
Energy relative to the elements, uncorrected, kJ per mole of atoms: -139.3

a = 7.5852 Å, b = 13.1451 Å, c = 7.7125 Å
α = 90.00°, β = 109.13°, γ = 90.00°
Last column: nearest neighbours and their distance in Å.
Space group C2/m (No. 12)
Asymmetric unit:
La: 0.2393 0.1664 0.2187  1 Ge 2.99, 2 As 2.99, 3 Br 3.25-3.26
La: 0.2399 0.5000 0.2189  1 Ge 2.99, 2 As 2.99, 3 Br 3.25-3.26
Ge: 0.0000 0.0000 0.0000  6 La 2.99
As: 0.0000 0.3333 0.0000  6 La 2.99
Br: 0.0000 0.1660 0.5000  6 La 3.25-3.26
Br: 0.0000 0.5000 0.5000  6 La 3.25-3.26

=====

No. 4
VASP calculation (GGA-PBE) on an optimized crystal structure of LaGeAs2Br.

Results
E_tot, eV per atom: -4.462
M_tot, μB per formula unit: 0.00
Distance to the lowest polymorph of the same formula, meV/atom: 0
Energy relative to the elements, uncorrected, kJ per mole of atoms: -34.6

a = 4.9966 Å, b = 4.9966 Å, c = 5.2499 Å
α = 90.00°, β = 90.00°, γ = 90.00°
Last column: nearest neighbours and their distance in Å.
Space group P4/mmm (No. 123)
Asymmetric unit:
La: 0.0000 0.0000 0.0000  4 Br 3.53, 8 As 3.62
Ge: 0.5000 0.5000 0.5000  4 As 2.50, 2 Br 2.62
As: 0.0000 0.5000 0.5000  2 Ge 2.50
Br: 0.5000 0.5000 0.0000  2 Ge 2.62

=====

No. 5
VASP calculation (GGA-PBE) on an optimized crystal structure of La6Ge2As3Br.

Results
E_tot, eV per atom: -5.866
M_tot, μB per formula unit: 0.00
Energy relative to the elements, uncorrected, kJ per mole of atoms: -128.4

a = 19.1589 Å, b = 4.3647 Å, c = 8.8680 Å
α = 90.00°, β = 103.38°, γ = 90.00°
Last column: nearest neighbours and their distance in Å.
Space group C2/m (No. 12)
Asymmetric unit:
La: 0.0010 0.0000 0.2679  3 As 3.00-3.06, 1 Ge 3.04, 2 Br 3.22
La: 0.1673 0.5000 0.5843  3 As 3.12-3.13, 3 Ge 3.14-3.15
La: 0.1717 0.5000 0.0856  3 As 3.08-3.09, 2 Ge 3.09, 1 Br 3.20
Ge: 0.1637 0.0000 0.3278  6 La 3.04-3.15
As: 0.0000 0.5000 0.5000  6 La 3.00-3.12
As: 0.1629 0.0000 0.8345  6 La 3.06-3.13
Br: 0.0000 0.5000 0.0000  6 La 3.20-3.22

=====

No. 6
VASP calculation (GGA-PBE) on an optimized crystal structure of La4GeAs2Br.

Results
E_tot, eV per atom: -5.833
M_tot, μB per formula unit: 0.00
Energy relative to the elements, uncorrected, kJ per mole of atoms: -137.1

a = 7.5860 Å, b = 4.3910 Å, c = 7.5947 Å
α = 90.00°, β = 109.13°, γ = 90.00°
Last column: nearest neighbours and their distance in Å.
Space group P2/m (No. 10)
Asymmetric unit:
La: 0.2331 0.0000 0.2350  3 As 3.01-3.11, 1 Ge 3.08, 2 Br 3.21
La: 0.2436 0.5000 0.7550  3 As 3.02-3.11, 2 Ge 3.10, 1 Br 3.16
Ge: 0.0000 0.0000 0.5000  6 La 3.08-3.10
As: 0.0000 0.5000 0.0000  6 La 3.01-3.02
As: 0.5000 0.0000 0.0000  6 La 3.11
Br: 0.5000 0.5000 0.5000  6 La 3.16-3.21